(1)
Sm4ZnSe3 | PBE | relaxed

abc: 5.9209 5.9209 5.9209
angles: 90.00 90.00 90.00
With the nearest neighbours (Å) after each atom.
Space group Pm-3m (No. 221)
Symmetry-distinct sites (fractional):
Sm  0.0000  0.0000  0.0000  6 Se 2.96
Sm  0.0000  0.5000  0.5000  2 Zn 2.96, 4 Se 2.96
Zn  0.5000  0.5000  0.5000  6 Sm 2.96
Se  0.0000  0.0000  0.5000  6 Sm 2.96

Properties
* E: -5.278 eV/atom
* total magnetic moment: 0.00 μB/cell



(2)
SrLiNd | PBE | relaxed

abc: 7.7348 7.7348 7.7348
angles: 90.00 90.00 90.00
With the nearest neighbours (Å) after each atom.
Space group F-43m (No. 216)
Symmetry-distinct sites (fractional):
Sr  0.0000  0.0000  0.0000  4 Li 3.35
Li  0.2500  0.2500  0.7500  4 Nd 3.35, 4 Sr 3.35
Nd  0.0000  0.0000  0.5000  4 Li 3.35

Properties
* E: -2.335 eV/atom
* total magnetic moment: 1.23 μB/cell